1.
{
  "formula": "Ba8NaAs4",
  "functional": "PBE",
  "state": "relaxed",
  "lattice_angstrom": [[-0.930, -4.352, 1.862], [7.169, -6.975, -6.472], [8.795, -1.063, 8.158]],
  "species": ["As", "As", "As", "As", "Ba", "Ba", "Ba", "Ba", "Ba", "Ba", "Ba", "Ba", "Na"],
  "frac_coords": [[0.368, 0.831, 0.434], [0.851, 0.506, 0.792], [0.181, 0.497, 0.141], [0.664, 0.172, 0.500], [0.149, 0.326, 0.377], [0.853, 0.986, 0.308], [0.810, 0.346, 0.034], [0.221, 0.658, 0.900], [0.178, 0.017, 0.626], [0.883, 0.677, 0.557], [0.558, 0.653, 0.232], [0.474, 0.350, 0.702], [0.515, 0.002, 0.968]],
  "energy_ev_per_atom": -3.514,
  "m_tot_mub_per_fu": 0.93
}

=====

2.
{
  "formula": "LiHo2As",
  "functional": "PBE",
  "state": "relaxed",
  "lattice_angstrom": [[3.875, 0.000, 0.000], [0.000, 4.769, 0.000], [0.000, 0.000, 4.769]],
  "species": ["Ho", "Ho", "Li", "As"],
  "frac_coords": [[0.000, 0.500, 0.000], [0.000, 0.000, 0.500], [0.500, 0.500, 0.500], [0.500, 0.000, 0.000]],
  "energy_ev_per_atom": -4.492,
  "m_tot_mub_per_fu": 0.00
}

=====

3.
{
  "formula": "Ce2PuPb",
  "functional": "PBE",
  "state": "relaxed",
  "lattice_angstrom": [[-3.793, 1.949, 3.361], [-2.152, -3.207, 3.817], [1.182, 0.839, 5.233]],
  "species": ["Ce", "Ce", "Pu", "Pb"],
  "frac_coords": [[0.250, 0.250, 0.250], [0.750, 0.750, 0.750], [0.500, 0.500, 0.500], [0.000, 0.000, 0.000]],
  "energy_ev_per_atom": -7.630,
  "m_tot_mub_per_fu": 9.32
}

=====

4.
{
  "formula": "NaCo2I2",
  "functional": "PBE",
  "state": "relaxed",
  "lattice_angstrom": [[5.189, 0.000, 0.000], [0.000, 5.189, 0.000], [2.594, 2.594, 4.351]],
  "species": ["Co", "Co", "I", "I", "Na"],
  "frac_coords": [[0.631, 0.631, 0.737], [0.369, 0.369, 0.263], [0.750, 0.250, 0.500], [0.250, 0.750, 0.500], [0.000, 0.000, 0.000]],
  "formation_energy_uncorrected_ev_per_atom": 0.33,
  "m_tot_mub_per_fu": 3.90
}